Record 1
Material: CaNd6Sm12
Method: DFT, PBE-GGA
State: optimized geometry

Output
Its space-group type is R-3m, No. 166. The formation energy is 0.188 eV per atom.

Structure (POSCAR):
```
CaNd6Sm12
1.0
8.845 -0.170 -1.227
-1.385 8.737 -1.227
-0.148 -0.170 8.928
Sm Nd Ca
12 6 1
Direct
0.240 0.500 0.760
0.760 0.240 0.500
0.084 0.358 0.358
0.358 0.358 0.084
0.500 0.240 0.760
0.240 0.760 0.500
0.760 0.500 0.240
0.916 0.642 0.642
0.358 0.084 0.358
0.642 0.642 0.916
0.642 0.916 0.642
0.500 0.760 0.240
0.656 0.098 0.098
0.902 0.902 0.344
0.098 0.098 0.656
0.902 0.344 0.902
0.098 0.656 0.098
0.344 0.902 0.902
0.000 0.000 0.000
```

=====

Record 2
Material: PrPa2Sb
Method: DFT, PBE-GGA
State: optimized geometry

Output
For the raw formation energy, the calculation gives -0.9 eV/f.u. Its space-group type is P4/mmm, No. 123.

Structure (POSCAR):
```
PrPa2Sb
1.0
5.108 0.000 0.000
0.000 4.556 0.000
0.000 0.000 4.556
Sb Pa Pr
1 2 1
Direct
0.500 0.000 0.000
0.000 0.000 0.500
0.000 0.500 0.000
0.500 0.500 0.500
```

=====

Record 3
Material: Pm3Be2Ge4
Method: DFT, PBE-GGA
State: optimized geometry

Output
The distance to the lowest polymorph of the same formula comes out at 0.101 eV/atom. Its space-group type is C2/m, No. 12. The formation energy is -0.596 eV per atom.

Structure (POSCAR):
```
Pm3Be2Ge4
1.0
4.074 0.000 0.000
-2.037 5.529 -0.174
0.000 -2.479 8.044
Pm Ge Be
3 4 2
Direct
0.619 0.238 0.686
0.381 0.762 0.314
0.000 0.000 0.000
0.890 0.781 0.604
0.110 0.219 0.396
0.285 0.569 0.930
0.715 0.431 0.070
0.687 0.374 0.341
0.313 0.626 0.659
```

=====

Record 4
Material: PrTm2Cr2C4
Method: DFT, PBE-GGA
State: optimized geometry

Output
Its space-group type is C2/m, No. 12. The formation energy is -0.104 eV per atom.

Structure (POSCAR):
```
PrTm2Cr2C4
1.0
-3.207 0.718 0.018
1.449 -1.218 6.654
1.230 5.536 -1.609
C Cr Tm Pr
4 2 2 1
Direct
0.778 0.555 0.797
0.222 0.445 0.203
0.479 0.958 0.368
0.521 0.042 0.632
0.324 0.648 0.026
0.676 0.352 0.974
0.148 0.296 0.541
0.852 0.704 0.459
0.000 0.000 0.000
```

=====

Record 5
Material: BiTe2Pd
Method: DFT, PBE-GGA
State: optimized geometry

Output
For the raw formation energy, the calculation gives -0.3 eV/f.u. Its space-group type is I-42d, No. 122.

Structure (POSCAR):
```
BiTe2Pd
1.0
6.637 0.000 0.000
0.000 6.637 0.000
3.319 3.319 6.442
Te Pd Bi
4 2 2
Direct
0.375 0.432 0.750
0.182 0.625 0.250
0.568 0.125 0.250
0.875 0.818 0.750
0.500 0.500 0.000
0.250 0.750 0.500
0.000 0.000 0.000
0.750 0.250 0.500
```

=====

Record 6
Material: CoTc
Method: DFT, PBE-GGA
State: optimized geometry

Output
The distance to the lowest polymorph of the same formula comes out at 0.510 eV/atom. Its space-group type is P6_3/mmc, No. 194. The formation energy is 0.462 eV per atom.

Structure (POSCAR):
```
CoTc
1.0
2.748 0.000 0.000
0.000 7.311 -4.221
0.000 0.000 8.442
Co Tc
6 6
Direct
0.250 0.148 0.852
0.750 0.852 0.703
0.750 0.852 0.148
0.750 0.297 0.148
0.250 0.148 0.297
0.250 0.703 0.852
0.250 0.861 0.430
0.750 0.430 0.570
0.250 0.570 0.430
0.250 0.570 0.139
0.750 0.139 0.570
0.750 0.430 0.861
```

=====

Record 7
Material: VPdRh2
Method: DFT, PBE-GGA
State: optimized geometry

Output
Its space-group type is Fm-3m, No. 225. The formation energy is -0.103 eV per atom.

Structure (POSCAR):
```
VPdRh2
1.0
0.000 3.063 3.063
3.063 0.000 3.063
3.063 3.063 0.000
V Pd Rh
1 1 2
Direct
0.000 0.000 0.000
0.500 0.500 0.500
0.250 0.250 0.250
0.750 0.750 0.750
```

=====

Record 8
Material: TlIrRh2
Method: DFT, PBE-GGA
State: optimized geometry

Output
The distance to the lowest polymorph of the same formula comes out at 0.212 eV/atom. Its space-group type is Pmmm, No. 47. The formation energy is 0.411 eV per atom.

Structure (POSCAR):
```
TlIrRh2
1.0
-0.426 0.236 2.899
-2.246 -4.113 0.005
4.105 -2.240 0.786
Tl Rh Ir
1 2 1
Direct
0.500 0.500 0.000
0.500 0.000 0.500
0.000 0.000 0.000
0.000 0.500 0.500
```

=====

Record 9
Material: CsYO2
Method: DFT, PBE-GGA
State: optimized geometry

Output
For the raw formation energy, the calculation gives -10.4 eV/f.u. Its space-group type is I-42d, No. 122.

Structure (POSCAR):
```
CsYO2
1.0
-3.654 4.485 2.764
-4.841 -4.185 0.391
-2.703 -1.235 5.865
Cs O Y
2 4 2
Direct
0.750 0.250 0.500
0.000 0.000 0.000
0.246 0.625 0.250
0.875 0.754 0.750
0.504 0.125 0.250
0.375 0.496 0.750
0.500 0.500 0.000
0.250 0.750 0.500
```

=====

Record 10
Material: Na4Re3PbO12
Method: DFT, PBE-GGA
State: optimized geometry

Output
For the raw formation energy, the calculation gives -28.9 eV/f.u. Its space-group type is Im-3m, No. 229.

Structure (POSCAR):
```
Na4Re3PbO12
1.0
-1.220 -1.091 6.689
3.989 -5.046 -2.459
3.198 6.047 -0.794
Re O Na Pb
3 12 4 1
Direct
0.500 0.000 0.500
0.000 0.500 0.500
0.500 0.500 0.000
0.500 0.750 0.250
0.000 0.262 0.262
0.500 0.250 0.750
0.000 0.738 0.738
0.262 0.000 0.262
0.250 0.500 0.750
0.262 0.262 0.000
0.738 0.738 0.000
0.250 0.750 0.500
0.750 0.500 0.250
0.738 0.000 0.738
0.750 0.250 0.500
0.000 0.000 0.500
0.000 0.500 0.000
0.500 0.000 0.000
0.500 0.500 0.500
0.000 0.000 0.000
```

=====

Record 11
Material: Hg2Pd2Ru
Method: DFT, PBE-GGA
State: optimized geometry

Output
The distance to the lowest polymorph of the same formula comes out at 0.149 eV/atom. Its space-group type is I4/mmm, No. 139. The formation energy is 0.578 eV per atom.

Structure (POSCAR):
```
Hg2Pd2Ru
1.0
-2.957 1.538 1.609
1.039 -1.411 3.260
2.797 5.896 3.762
Pd Hg Ru
2 2 1
Direct
0.250 0.750 0.500
0.750 0.250 0.500
0.600 0.600 0.800
0.400 0.400 0.200
0.000 0.000 0.000
```

=====

Record 12
Material: CsSb2Pb4
Method: DFT, PBE-GGA
State: optimized geometry

Output
For the raw formation energy, the calculation gives -1.0 eV/f.u. The distance to the lowest polymorph of the same formula comes out at 0.000 eV/atom. Its space-group type is P4_2/mnm, No. 136.

Structure (POSCAR):
```
CsSb2Pb4
1.0
4.999 0.000 0.000
0.000 10.129 0.000
0.000 0.000 10.129
Sb Pb Cs
4 8 2
Direct
0.500 0.280 0.280
0.000 0.220 0.780
0.500 0.720 0.720
0.000 0.780 0.220
0.500 0.424 0.837
0.000 0.076 0.337
0.500 0.837 0.424
0.000 0.663 0.924
0.500 0.576 0.163
0.500 0.163 0.576
0.000 0.337 0.076
0.000 0.924 0.663
0.000 0.500 0.500
0.500 0.000 0.000
```

=====

Number 1: DOS at the Fermi energy 1.556 states/eV per atom, magnetic moment 0.000 μB per formula unit. Number 2: DOS at the Fermi energy 2.162 states/eV per atom, magnetic moment 0.569 μB per formula unit. Number 3: DOS at the Fermi energy 0.433 states/eV per atom, magnetic moment 0.000 μB per formula unit. Number 4: DOS at the Fermi energy 0.622 states/eV per atom, magnetic moment 0.002 μB per formula unit. Number 5: DOS at the Fermi energy 0.638 states/eV per atom, magnetic moment 0.000 μB per formula unit. Number 6: DOS at the Fermi energy 1.449 states/eV per atom, magnetic moment 1.457 μB per formula unit. Number 7: DOS at the Fermi energy 1.224 states/eV per atom, magnetic moment 0.000 μB per formula unit. Number 8: DOS at the Fermi energy 1.774 states/eV per atom, magnetic moment 0.002 μB per formula unit. Number 9: DOS at the Fermi energy 0.000 states/eV per atom, magnetic moment 0.000 μB per formula unit. Number 10: DOS at the Fermi energy 0.381 states/eV per atom, magnetic moment 0.000 μB per formula unit. Number 11: DOS at the Fermi energy 1.364 states/eV per atom, magnetic moment 1.795 μB per formula unit. Number 12: DOS at the Fermi energy 0.257 states/eV per atom, magnetic moment 0.000 μB per formula unit.